Here is a geometry-optimized BaTaCrO6 structure from Alexandria. Energies are from PBE with a Hubbard U.

## Properties
total moment = 0.11 μB per atom
total DFT energy (no corrections) = -71.8 eV/f.u.
space-group type = P1
theoretical density = 5.6 Mg/m³

Cell and atoms, written as CIF:
```
data_BaTaCrO6
_chemical_formula_sum 'Ba1 Ta1 Cr1 O6'
_cell_length_a 5.191
_cell_length_b 5.224
_cell_length_c 5.763
_cell_angle_alpha 90.73
_cell_angle_beta 91.23
_cell_angle_gamma 118.44
_symmetry_space_group_name_H-M 'P 1'
_symmetry_Int_Tables_number 1
_symmetry_space_group_name_Hall 'P 1'
loop_
_atom_site_label
_atom_site_type_symbol
_atom_site_fract_x
_atom_site_fract_y
_atom_site_fract_z
Ba1 Ba 0.000 0.000 0.000
Ta1 Ta 0.656 0.322 0.527
Cr1 Cr 0.331 0.670 0.470
O1 O 0.006 0.384 0.690
O2 O 0.009 0.597 0.312
O3 O 0.375 0.982 0.684
O4 O 0.408 0.409 0.295
O5 O 0.586 0.609 0.691
O6 O 0.592 0.978 0.305
```